No. 1
VASP calculation (GGA-PBE) on a relaxed structure of Ca4ZrCu.

Cell and atoms, written as POSCAR:
```
Ca4ZrCu
1.0
0.0000 4.6431 4.6431
4.6431 0.0000 4.6431
4.6431 4.6431 0.0000
Ca Zr Cu
4 1 1
direct
0.1253 0.1253 0.1253
0.1253 0.1253 0.6241
0.1253 0.6241 0.1253
0.6241 0.1253 0.1253
0.5000 0.5000 0.5000
0.7500 0.7500 0.7500
```

Summary:
M_tot, Bohr magnetons per cell: 3.4
Calculated volume, Å³/atom: 33.36
Formation enthalpy at 0 K, eV/atom: 0.808

=====

No. 2
VASP calculation (GGA-PBE) on a relaxed structure of ReRhCl2.

Cell and atoms, written as POSCAR:
```
ReRhCl2
1.0
3.1032 0.0000 0.0000
0.0000 3.1032 0.0000
0.0000 0.0000 6.1895
Re Rh Cl
1 1 2
direct
0.0000 0.0000 0.0000
0.0000 0.0000 0.5000
0.5000 0.5000 0.2383
0.5000 0.5000 0.7617
```

Summary:
Raw formation energy, eV/atom: 1.121
M_tot, Bohr magnetons per cell: 0.0
Energy above the most stable polymorph in this dataset, eV per atom: 1.151
Calculated volume, Å³/atom: 14.90

=====

No. 3
VASP calculation (GGA-PBE) on a relaxed structure of Ac7GaPb2N2.

Cell and atoms, written as POSCAR:
```
Ac7GaPb2N2
1.0
-2.6445 2.6445 13.9555
2.6445 -2.6445 13.9555
2.6445 2.6445 -13.9555
Ac Ga Pb N
7 1 2 2
direct
0.0000 0.0000 0.0000
0.0926 0.5926 0.5000
0.1947 0.1947 0.0000
0.4074 0.9074 0.5000
0.5926 0.0926 0.5000
0.8053 0.8053 0.0000
0.9074 0.4074 0.5000
0.5000 0.5000 0.0000
0.3204 0.3204 0.0000
0.6796 0.6796 0.0000
0.1002 0.1002 0.0000
0.8998 0.8998 0.0000
```

Summary:
Raw formation energy, eV/atom: -0.661
M_tot, Bohr magnetons per cell: 0.0
Calculated volume, Å³/atom: 32.53